# 1
The following is a PBE-GGA calculation of a geometry-optimized Ca2ScTa structure, from Alexandria.

Geometry as POSCAR:
```
Ca2ScTa
1.0
11.6680 0.0070 0.0041
11.2053 3.2530 0.0041
11.2053 1.5971 2.8340
Ca Sc Ta
2 1 1
Direct
0.4932 0.4932 0.4932
0.0068 0.0068 0.0068
0.2500 0.2500 0.2500
0.7500 0.7500 0.7500
```

Properties
Total DFT energy (no corrections) in eV per cell: -19.9
Magnetic moment in μB per formula unit: 0.60
Energy relative to the lowest polymorph listed for this composition in meV/atom: 222

# 2
The following is a PBE-GGA calculation of a geometry-optimized TmCu2Ni2 structure, from Alexandria.

Geometry as POSCAR:
```
TmCu2Ni2
1.0
3.7751 0.0000 0.0000
0.0000 3.7751 0.0000
-1.8876 -1.8876 10.4533
Ni Tm Cu
4 2 4
Direct
0.9298 0.9298 0.8596
0.0702 0.0702 0.1404
0.7500 0.2500 0.5000
0.2500 0.7500 0.5000
0.6254 0.6254 0.2507
0.3746 0.3746 0.7493
0.0000 0.5000 0.0000
0.1802 0.1802 0.3603
0.5000 0.0000 0.0000
0.8198 0.8198 0.6397
```

Properties
Total DFT energy (no corrections) in eV per cell: -50.4
Magnetic moment in μB per formula unit: 0.00

# 3
The following is a PBE-GGA calculation of a geometry-optimized KRb2Hg2Sb2 structure, from Alexandria.

Geometry as POSCAR:
```
KRb2Hg2Sb2
1.0
-3.4327 2.8490 -2.8784
-3.7602 -2.4497 -2.8364
-9.2050 0.6219 6.6973
Hg K Rb Sb
2 1 2 2
Direct
0.6037 0.6037 0.1888
0.3963 0.3963 0.8112
0.0000 0.0000 0.0000
0.8716 0.8716 0.3851
0.1284 0.1284 0.6149
0.7373 0.7373 0.7881
0.2627 0.2627 0.2119
```

Properties
Uncorrected formation energy in eV per atom: -0.29
Total DFT energy (no corrections) in eV per cell: -13.9
Magnetic moment in μB per formula unit: 0.00

# 4
The following is a PBE-GGA calculation of a geometry-optimized YNb2Tl2 structure, from Alexandria.

Geometry as POSCAR:
```
YNb2Tl2
1.0
-6.2745 4.5133 -1.4130
-4.1352 -6.3748 -1.9993
-1.0823 -0.4023 3.5212
Nb Tl Y
4 4 2
Direct
0.6652 0.8348 0.5000
0.8348 0.3348 0.5000
0.3348 0.1652 0.5000
0.1652 0.6652 0.5000
0.1342 0.3658 0.0000
0.8658 0.6342 0.0000
0.6342 0.1342 0.0000
0.3658 0.8658 0.0000
0.5000 0.5000 0.0000
0.0000 0.0000 0.0000
```

Properties
Total DFT energy (no corrections) in eV per cell: -59.2
Magnetic moment in μB per formula unit: 0.00
Energy relative to the lowest polymorph listed for this composition in meV/atom: 218

# 5
The following is a PBE-GGA calculation of a geometry-optimized Nd2InPt structure, from Alexandria.

Geometry as POSCAR:
```
Nd2InPt
1.0
4.0633 0.0000 0.0000
2.0317 3.5189 0.0000
2.0317 1.1730 8.3861
In Nd Pt
1 2 1
Direct
0.5000 0.5000 0.5000
0.2645 0.2645 0.2065
0.7355 0.7355 0.7935
0.0000 0.0000 0.0000
```

Properties
Total DFT energy (no corrections) in eV per cell: -21.0
Magnetic moment in μB per formula unit: 0.00
Energy relative to the lowest polymorph listed for this composition in meV/atom: 99

# 6
The following is a PBE-GGA calculation of a geometry-optimized BaPtS2N structure, from Alexandria.

Geometry as POSCAR:
```
BaPtS2N
1.0
5.1986 0.0000 0.0000
0.0000 5.1986 0.0000
0.0000 0.0000 3.7976
S Pt Ba N
2 1 1 1
Direct
0.0000 0.5000 0.0000
0.5000 0.0000 0.0000
0.0000 0.0000 0.0000
0.5000 0.5000 0.5000
0.0000 0.0000 0.5000
```

Properties
Uncorrected formation energy in eV per atom: -0.37
Total DFT energy (no corrections) in eV per cell: -26.4
Magnetic moment in μB per formula unit: 0.05
Energy relative to the lowest polymorph listed for this composition in meV/atom: 0

# 7
The following is a PBE-GGA calculation of a geometry-optimized Ba2ZrOs structure, from Alexandria.

Geometry as POSCAR:
```
Ba2ZrOs
1.0
-0.9193 1.4979 -2.9989
-2.0657 -2.7043 -0.7089
-7.9086 4.7798 4.8117
Ba Os Zr
2 1 1
Direct
0.0000 0.0000 0.0546
0.0000 0.0000 0.4454
0.5000 0.5000 0.2500
0.5000 0.5000 0.7500
```

Properties
Total DFT energy (no corrections) in eV per cell: -19.5
Magnetic moment in μB per formula unit: 2.55
Energy relative to the lowest polymorph listed for this composition in meV/atom: 835

# 8
The following is a PBE-GGA calculation of a geometry-optimized Er3TaPt12 structure, from Alexandria.

Geometry as POSCAR:
```
Er3TaPt12
1.0
-0.4132 -0.8441 3.9607
0.5499 -3.9561 -0.7858
16.0961 1.8264 2.0684
Pt Er Ta
12 3 1
Direct
0.5000 0.0000 0.1162
0.5000 0.0000 0.8838
0.0000 0.5000 0.1162
0.5000 0.5000 0.2445
0.0000 0.5000 0.8838
0.0000 0.5000 0.6267
0.5000 0.5000 0.5000
0.5000 0.5000 0.0000
0.0000 0.5000 0.3733
0.5000 0.5000 0.7555
0.5000 0.0000 0.6267
0.5000 0.0000 0.3733
0.0000 0.0000 0.5000
0.0000 0.0000 0.7503
0.0000 0.0000 0.2497
0.0000 0.0000 0.0000
```

Properties
Total DFT energy (no corrections) in eV per cell: -114.1
Magnetic moment in μB per formula unit: 0.00

# 9
The following is a PBE-GGA calculation of a geometry-optimized ErPaOsRh structure, from Alexandria.

Geometry as POSCAR:
```
ErPaOsRh
1.0
4.8452 0.0000 0.0000
2.4226 4.1961 0.0000
2.4226 1.3987 3.9561
Pa Os Er Rh
1 1 1 1
Direct
0.2500 0.2500 0.2500
0.0000 0.0000 0.0000
0.7500 0.7500 0.7500
0.5000 0.5000 0.5000
```

Properties
Total DFT energy (no corrections) in eV per cell: -34.7
Magnetic moment in μB per formula unit: 0.00

# 10
The following is a PBE-GGA calculation of a geometry-optimized CsRb2PO4 structure, from Alexandria.

Geometry as POSCAR:
```
CsRb2PO4
1.0
-4.3458 6.0942 0.7194
-7.1404 -2.2736 0.6234
6.6334 -2.2767 5.3420
Rb O P Cs
4 8 2 2
Direct
0.5000 0.0000 0.5000
0.5000 0.5000 0.0000
0.5000 0.0000 0.0000
0.0000 0.0000 0.5000
0.9998 0.9999 0.1866
0.5001 0.5002 0.3134
0.1977 0.8250 0.0114
0.4999 0.4998 0.6866
0.8023 0.1750 0.9886
0.6750 0.3023 0.4886
0.0002 0.0001 0.8134
0.3250 0.6977 0.5114
0.0000 0.0000 0.0000
0.5000 0.5000 0.5000
0.0000 0.5000 0.0000
0.0000 0.5000 0.5000
```

Properties
Uncorrected formation energy in eV per atom: -1.53
Total DFT energy (no corrections) in eV per cell: -80.6
Magnetic moment in μB per formula unit: 0.00

# 11
The following is a PBE-GGA calculation of a geometry-optimized LiInSn structure, from Alexandria.

Geometry as POSCAR:
```
LiInSn
1.0
-2.4572 -2.1951 -0.3898
2.9942 -3.2694 -0.4630
-0.1668 -1.4907 9.4472
In Sn Li
2 2 2
Direct
0.5000 0.0000 0.8238
0.0000 0.5000 0.6490
0.0000 0.5000 0.3262
0.0000 0.5000 0.0020
0.5000 0.0000 0.1682
0.5000 0.0000 0.4800
```

Properties
Total DFT energy (no corrections) in eV per cell: -18.4
Magnetic moment in μB per formula unit: 0.00

# 12
The following is a PBE-GGA calculation of a geometry-optimized Ba2LiAlCd6 structure, from Alexandria.

Geometry as POSCAR:
```
Ba2LiAlCd6
1.0
-7.1433 1.7330 -1.3990
1.1934 -0.8931 -7.2058
-4.2067 -4.6513 -3.8736
Ba Cd Li Al
2 6 1 1
Direct
0.3754 0.7919 0.4171
0.6246 0.2081 0.5829
0.8332 0.3389 0.9146
0.1672 0.2535 0.4936
0.1668 0.6611 0.0854
0.1669 0.2541 0.0848
0.8331 0.7459 0.9152
0.8328 0.7465 0.5064
0.5000 0.5000 0.0000
0.0000 0.0000 0.0000
```

Properties
Total DFT energy (no corrections) in eV per cell: -16.9
Magnetic moment in μB per formula unit: 0.00

Q: Which of these has the highest total DFT energy (no corrections)?
A: KRb2Hg2Sb2